A plane-wave DFT calculation with PBE was carried out for an optimized crystal structure of Co5Ni7.

Geometry as CIF:
```
data_Co5Ni7
_space_group_name_H-M_alt 'P 63/m m c'
_space_group_IT_number 194
_space_group_name_Hall '-P 6c 2c'
_cell_length_a 4.5859
_cell_length_b 4.5859
_cell_length_c 14.9489
_cell_angle_alpha 90.00
_cell_angle_beta 90.00
_cell_angle_gamma 120.00
loop_
_atom_site_label
_atom_site_type_symbol
_atom_site_fract_x
_atom_site_fract_y
_atom_site_fract_z
_atom_site_occupancy
Co1 Co 0.0000 0.0000 0.0894 1
Co2 Co 0.1608 0.3216 0.2500 1
Ni1 Ni 0.0000 0.5000 0.0000 1
Ni2 Ni 0.3333 0.6667 0.1268 1
Ni3 Ni 0.3333 0.6667 0.6575 1
```

Values from the calculation:
V = 136.13 Å³/f.u.
electronic total energy = -5.995 eV/atom
excess energy over the best structure of this formula in the dataset = 0.015 eV/atom
formation energy from the elements = 2.57 eV/f.u.

A plane-wave DFT calculation with PBE was carried out for an optimized crystal structure of Co4Ni25.

Geometry as CIF:
```
data_Co4Ni25
_space_group_name_H-M_alt 'I -4 3 m'
_space_group_IT_number 217
_space_group_name_Hall 'I -4 2 3'
_cell_length_a 8.5811
_cell_length_b 8.5811
_cell_length_c 8.5811
_cell_angle_alpha 90.00
_cell_angle_beta 90.00
_cell_angle_gamma 90.00
loop_
_atom_site_label
_atom_site_type_symbol
_atom_site_fract_x
_atom_site_fract_y
_atom_site_fract_z
_atom_site_occupancy
Co1 Co 0.1772 0.1772 0.1772 1
Ni1 Ni 0.0000 0.0000 0.0000 1
Ni2 Ni 0.0476 0.3619 0.6381 1
Ni3 Ni 0.0931 0.0931 0.7173 1
```

Values from the calculation:
V = 315.93 Å³/f.u.
electronic total energy = -5.681 eV/atom
formation energy from the elements = 2.86 eV/f.u.

A plane-wave DFT calculation with PBE was carried out for an optimized crystal structure of CoNi5.

Geometry as CIF:
```
data_CoNi5
_space_group_name_H-M_alt 'P 63/m m c'
_space_group_IT_number 194
_space_group_name_Hall '-P 6c 2c'
_cell_length_a 4.5929
_cell_length_b 4.5929
_cell_length_c 14.8721
_cell_angle_alpha 90.00
_cell_angle_beta 90.00
_cell_angle_gamma 120.00
loop_
_atom_site_label
_atom_site_type_symbol
_atom_site_fract_x
_atom_site_fract_y
_atom_site_fract_z
_atom_site_occupancy
Co1 Co 0.3333 0.6667 0.1567 1
Ni1 Ni 0.0000 0.0000 0.0934 1
Ni2 Ni 0.0000 0.5000 0.0000 1
Ni3 Ni 0.1624 0.3247 0.7500 1
Ni4 Ni 0.3333 0.6667 0.6260 1
```

Values from the calculation:
V = 67.92 Å³/f.u.
electronic total energy = -5.610 eV/atom
formation energy from the elements = 1.29 eV/f.u.

A plane-wave DFT calculation with PBE was carried out for an optimized crystal structure of CoNi2.

Geometry as CIF:
```
data_CoNi2
_space_group_name_H-M_alt 'P 63/m m c'
_space_group_IT_number 194
_space_group_name_Hall '-P 6c 2c'
_cell_length_a 4.6019
_cell_length_b 4.6019
_cell_length_c 7.3758
_cell_angle_alpha 90.00
_cell_angle_beta 90.00
_cell_angle_gamma 120.00
loop_
_atom_site_label
_atom_site_type_symbol
_atom_site_fract_x
_atom_site_fract_y
_atom_site_fract_z
_atom_site_occupancy
Co1 Co 0.3333 0.6667 0.0662 1
Ni1 Ni 0.0000 0.0000 0.0000 1
Ni2 Ni 0.1708 0.3416 0.7500 1
```

Values from the calculation:
V = 33.82 Å³/f.u.
electronic total energy = -5.871 eV/atom
formation energy from the elements = 0.63 eV/f.u.

A plane-wave DFT calculation with PBE was carried out for an optimized crystal structure of Co2Ni.

Geometry as CIF:
```
data_Co2Ni
_space_group_name_H-M_alt 'P 42/m n m'
_space_group_IT_number 136
_space_group_name_Hall '-P 4n 2n'
_cell_length_a 8.5227
_cell_length_b 8.5227
_cell_length_c 4.5100
_cell_angle_alpha 90.00
_cell_angle_beta 90.00
_cell_angle_gamma 90.00
loop_
_atom_site_label
_atom_site_type_symbol
_atom_site_fract_x
_atom_site_fract_y
_atom_site_fract_z
_atom_site_occupancy
Co1 Co 0.0373 0.3653 0.0000 1
Co2 Co 0.0667 0.2656 0.5000 1
Co3 Co 0.0984 0.0984 0.0000 1
Ni1 Ni 0.0000 0.0000 0.5000 1
Ni2 Ni 0.1820 0.8180 0.2497 1
```

Values from the calculation:
V = 32.76 Å³/f.u.
electronic total energy = -6.524 eV/atom
formation energy from the elements = 0.21 eV/f.u.

A plane-wave DFT calculation with PBE was carried out for an optimized crystal structure of Co5Ni.

Geometry as CIF:
```
data_Co5Ni
_space_group_name_H-M_alt 'P 63/m m c'
_space_group_IT_number 194
_space_group_name_Hall '-P 6c 2c'
_cell_length_a 4.5965
_cell_length_b 4.5965
_cell_length_c 14.8855
_cell_angle_alpha 90.00
_cell_angle_beta 90.00
_cell_angle_gamma 120.00
loop_
_atom_site_label
_atom_site_type_symbol
_atom_site_fract_x
_atom_site_fract_y
_atom_site_fract_z
_atom_site_occupancy
Co1 Co 0.0000 0.0000 0.0880 1
Co2 Co 0.0000 0.5000 0.0000 1
Co3 Co 0.1606 0.3212 0.2500 1
Co4 Co 0.3333 0.6667 0.1275 1
Ni1 Ni 0.3333 0.6667 0.6546 1
```

Values from the calculation:
V = 68.09 Å³/f.u.
electronic total energy = -6.659 eV/atom
excess energy over the best structure of this formula in the dataset = 0.002 eV/atom
formation energy from the elements = 1.15 eV/f.u.

A plane-wave DFT calculation with PBE was carried out for an optimized crystal structure of CoNiP4Os2.

Geometry as CIF:
```
data_CoNiP4Os2
_space_group_name_H-M_alt 'P -3 m 1'
_space_group_IT_number 164
_space_group_name_Hall '-P 3 2"'
_cell_length_a 3.4294
_cell_length_b 3.4294
_cell_length_c 10.4829
_cell_angle_alpha 90.00
_cell_angle_beta 90.00
_cell_angle_gamma 120.00
loop_
_atom_site_label
_atom_site_type_symbol
_atom_site_fract_x
_atom_site_fract_y
_atom_site_fract_z
_atom_site_occupancy
Co1 Co 0.0000 0.0000 0.0000 1
Ni1 Ni 0.0000 0.0000 0.5000 1
P1 P 0.3333 0.6667 0.1132 1
P2 P 0.3333 0.6667 0.3776 1
Os1 Os 0.0000 0.0000 0.2481 1
```

Values from the calculation:
V = 106.77 Å³/f.u.
electronic total energy = -7.350 eV/atom

A plane-wave DFT calculation with PBE was carried out for an optimized crystal structure of CoNiOsPb.

Geometry as CIF:
```
data_CoNiOsPb
_space_group_name_H-M_alt 'F -4 3 m'
_space_group_IT_number 216
_space_group_name_Hall 'F -4 2 3'
_cell_length_a 6.1630
_cell_length_b 6.1630
_cell_length_c 6.1630
_cell_angle_alpha 90.00
_cell_angle_beta 90.00
_cell_angle_gamma 90.00
loop_
_atom_site_label
_atom_site_type_symbol
_atom_site_fract_x
_atom_site_fract_y
_atom_site_fract_z
_atom_site_occupancy
Co1 Co 0.0000 0.0000 0.0000 1
Ni1 Ni 0.0000 0.0000 0.5000 1
Os1 Os 0.2500 0.2500 0.2500 1
Pb1 Pb 0.2500 0.2500 0.7500 1
```

Values from the calculation:
V = 58.52 Å³/f.u.
electronic total energy = -6.247 eV/atom
excess energy over the best structure of this formula in the dataset = 0.000 eV/atom

A plane-wave DFT calculation with PBE was carried out for an optimized crystal structure of CoNiSbOs.

Geometry as CIF:
```
data_CoNiSbOs
_space_group_name_H-M_alt 'F -4 3 m'
_space_group_IT_number 216
_space_group_name_Hall 'F -4 2 3'
_cell_length_a 6.0780
_cell_length_b 6.0780
_cell_length_c 6.0780
_cell_angle_alpha 90.00
_cell_angle_beta 90.00
_cell_angle_gamma 90.00
loop_
_atom_site_label
_atom_site_type_symbol
_atom_site_fract_x
_atom_site_fract_y
_atom_site_fract_z
_atom_site_occupancy
Co1 Co 0.0000 0.0000 0.0000 1
Ni1 Ni 0.2500 0.2500 0.2500 1
Sb1 Sb 0.2500 0.2500 0.7500 1
Os1 Os 0.0000 0.0000 0.5000 1
```

Values from the calculation:
V = 56.13 Å³/f.u.
electronic total energy = -6.726 eV/atom
excess energy over the best structure of this formula in the dataset = 0.000 eV/atom

A plane-wave DFT calculation with PBE was carried out for an optimized crystal structure of ZnCoNiOs.

Geometry as CIF:
```
data_ZnCoNiOs
_space_group_name_H-M_alt 'F -4 3 m'
_space_group_IT_number 216
_space_group_name_Hall 'F -4 2 3'
_cell_length_a 5.8263
_cell_length_b 5.8263
_cell_length_c 5.8263
_cell_angle_alpha 90.00
_cell_angle_beta 90.00
_cell_angle_gamma 90.00
loop_
_atom_site_label
_atom_site_type_symbol
_atom_site_fract_x
_atom_site_fract_y
_atom_site_fract_z
_atom_site_occupancy
Zn1 Zn 0.0000 0.0000 0.0000 1
Co1 Co 0.2500 0.2500 0.2500 1
Ni1 Ni 0.2500 0.2500 0.7500 1
Os1 Os 0.0000 0.0000 0.5000 1
```

Values from the calculation:
V = 49.44 Å³/f.u.
electronic total energy = -6.058 eV/atom
excess energy over the best structure of this formula in the dataset = 0.000 eV/atom
formation energy from the elements = 0.93 eV/f.u.

A plane-wave DFT calculation with PBE was carried out for an optimized crystal structure of ZnCoNiOs.

Geometry as CIF:
```
data_ZnCoNiOs
_space_group_name_H-M_alt 'F -4 3 m'
_space_group_IT_number 216
_space_group_name_Hall 'F -4 2 3'
_cell_length_a 5.8212
_cell_length_b 5.8212
_cell_length_c 5.8212
_cell_angle_alpha 90.00
_cell_angle_beta 90.00
_cell_angle_gamma 90.00
loop_
_atom_site_label
_atom_site_type_symbol
_atom_site_fract_x
_atom_site_fract_y
_atom_site_fract_z
_atom_site_occupancy
Zn1 Zn 0.0000 0.0000 0.0000 1
Co1 Co 0.2500 0.2500 0.2500 1
Ni1 Ni 0.0000 0.0000 0.5000 1
Os1 Os 0.2500 0.2500 0.7500 1
```

Values from the calculation:
V = 49.31 Å³/f.u.
electronic total energy = -5.989 eV/atom
excess energy over the best structure of this formula in the dataset = 0.069 eV/atom
formation energy from the elements = 1.21 eV/f.u.

A plane-wave DFT calculation with PBE was carried out for an optimized crystal structure of CoNiP.

Geometry as CIF:
```
data_CoNiP
_space_group_name_H-M_alt 'P -6 2 m'
_space_group_IT_number 189
_space_group_name_Hall 'P -6 -2'
_cell_length_a 6.3540
_cell_length_b 6.3540
_cell_length_c 2.7849
_cell_angle_alpha 90.00
_cell_angle_beta 90.00
_cell_angle_gamma 120.00
loop_
_atom_site_label
_atom_site_type_symbol
_atom_site_fract_x
_atom_site_fract_y
_atom_site_fract_z
_atom_site_occupancy
Co1 Co 0.0000 0.6259 0.0000 1
Ni1 Ni 0.0000 0.0000 0.0000 1
Ni2 Ni 0.3333 0.6667 0.5000 1
P1 P 0.0000 0.3076 0.5000 1
```

Values from the calculation:
V = 32.46 Å³/f.u.
electronic total energy = -6.129 eV/atom